A plane-wave DFT calculation with PBE was carried out for a geometry-optimized ThGa4Bi structure.

ΔH_f (0 K) = -0.204 eV/atom

POSCAR file:
```
ThGa4Bi
1.0
5.712 0.000 0.000
2.856 4.947 0.000
2.856 1.649 4.664
Ga Bi Th
4 1 1
Cartesian
5.712 3.298 0.577 Ga
5.712 1.643 2.917 Ga
7.145 4.125 2.917 Ga
4.279 4.125 2.917 Ga
2.856 1.649 1.166 Bi
0.000 0.000 0.000 Th
```


A plane-wave DFT calculation with PBE was carried out for a geometry-optimized Al4CrGa structure.

ΔH_f (0 K) = 0.035 eV/atom

POSCAR file:
```
Al4CrGa
1.0
-4.895 0.217 -1.547
0.048 -6.414 -1.054
0.630 2.154 6.967
Al Cr Ga
8 2 2
Cartesian
-0.620 -3.540 1.469 Al
-1.351 0.999 4.525 Al
0.009 -1.249 -0.205 Al
-2.891 -1.629 0.402 Al
-3.596 -0.503 2.897 Al
-2.866 -5.042 -0.159 Al
0.039 -5.166 -0.849 Al
-1.325 -2.414 3.964 Al
-1.360 -3.146 -0.961 Cr
-2.856 -0.897 5.327 Cr
-3.513 -3.658 2.052 Ga
-0.703 -0.386 2.314 Ga
```


A plane-wave DFT calculation with PBE was carried out for a geometry-optimized In2AgCl2 structure.

ΔE_f (raw) = -0.4188 eV/atom

POSCAR file:
```
In2AgCl2
1.0
-2.974 -1.345 7.152
-0.307 -7.696 -1.575
4.307 -0.518 1.693
Cl Ag In
4 2 4
Cartesian
1.493 -5.505 0.921 Cl
-0.053 -7.646 4.197 Cl
-0.467 -4.054 6.349 Cl
1.079 -1.914 3.073 Cl
0.000 0.000 0.000 Ag
-1.640 -4.521 2.789 Ag
-1.126 -6.528 0.866 In
-2.584 -6.486 4.588 In
-2.155 -2.513 4.712 In
-0.696 -2.555 0.989 In
```


A plane-wave DFT calculation with PBE was carried out for a geometry-optimized Na4Cu3Cl12 structure.

ΔE_f (raw) = -0.9585 eV/atom

POSCAR file:
```
Na4Cu3Cl12
1.0
8.712 0.000 0.000
-2.904 8.214 0.000
-2.904 -4.107 7.114
Na Cu Cl
4 3 12
Cartesian
-1.452 -2.054 3.557 Na
1.452 2.054 3.557 Na
4.356 0.000 0.000 Na
-1.452 4.107 0.000 Na
2.904 -2.054 3.557 Cu
2.904 4.107 0.000 Cu
-2.904 2.054 3.557 Cu
1.813 0.657 6.013 Cl
1.091 3.450 1.101 Cl
-0.015 -1.928 6.013 Cl
0.015 4.243 4.677 Cl
5.824 2.043 1.336 Cl
-1.091 0.772 3.538 Cl
-1.813 5.536 2.437 Cl
-2.920 2.064 5.777 Cl
2.920 6.036 1.101 Cl
2.889 -0.136 2.437 Cl
3.995 3.336 3.576 Cl
4.717 -1.429 4.677 Cl
```


A plane-wave DFT calculation with PBE was carried out for a geometry-optimized NiTeHPd2 structure.

Energy = -4.58 eV/atom

POSCAR file:
```
NiTeHPd2
1.0
4.077 0.000 0.000
0.000 4.077 0.000
0.000 0.000 4.047
Ni Te Pd H
1 1 2 1
Cartesian
0.000 0.000 2.023 Ni
2.039 2.039 2.023 Te
0.000 2.039 0.000 Pd
2.039 0.000 0.000 Pd
0.000 0.000 0.000 H
```


A plane-wave DFT calculation with PBE was carried out for a geometry-optimized GdDyHoPu structure.

ΔH_f (0 K) = 0.185 eV/atom

POSCAR file:
```
GdDyHoPu
1.0
-5.460 0.277 -1.143
-3.731 -1.822 3.735
-3.240 3.647 2.718
Gd Dy Ho Pu
1 1 1 1
Cartesian
-3.108 0.526 1.327 Gd
-9.323 1.577 3.982 Dy
-6.215 1.051 2.655 Ho
0.000 0.000 0.000 Pu
```


A plane-wave DFT calculation with PBE was carried out for a geometry-optimized SrTcNiSbH structure.

Energy = -5.11 eV/atom

POSCAR file:
```
SrTcNiSbH
1.0
-2.034 -2.972 -1.257
1.319 -2.015 2.628
-9.455 3.370 7.329
Sr Tc Ni Sb H
2 2 2 2 2
Cartesian
-5.766 2.055 4.470 Sr
-0.378 -0.637 2.119 Sr
-3.763 -0.507 1.500 Tc
-7.831 0.170 6.479 Tc
-10.410 1.862 6.653 Ni
-5.023 -0.831 4.302 Ni
-8.212 2.927 6.366 Sb
-2.825 0.234 4.015 Sb
-2.275 -1.038 0.347 H
-6.343 -0.360 5.325 H
```


A plane-wave DFT calculation with PBE was carried out for a geometry-optimized Ac4Pm2Nd5 structure.

ΔH_f (0 K) = 0.176 eV/atom

POSCAR file:
```
Ac4Pm2Nd5
1.0
-2.724 -1.979 1.653
6.742 -7.181 2.512
5.832 3.809 9.918
Ac Pm Nd
4 2 5
Cartesian
3.601 -4.636 4.640 Ac
2.433 -1.926 1.703 Ac
6.249 -0.716 9.442 Ac
7.417 -3.426 12.379 Ac
3.440 -2.097 7.415 Pm
6.410 -3.255 6.668 Pm
2.909 0.104 4.920 Nd
6.941 -5.456 9.162 Nd
7.434 -5.894 5.194 Nd
-1.362 -0.990 0.826 Nd
2.416 0.542 8.888 Nd
```


A plane-wave DFT calculation with PBE was carried out for a geometry-optimized TiMo2Os2 structure.

ΔH_f (0 K) = 0.106 eV/atom

POSCAR file:
```
TiMo2Os2
1.0
-0.911 5.111 -5.348
-7.209 0.597 1.798
0.649 2.108 1.904
Mo Os Ti
4 4 2
Cartesian
-4.628 2.301 1.261 Mo
-6.293 4.956 -1.111 Mo
-2.842 5.516 -2.907 Mo
-1.177 2.860 -0.535 Mo
-6.588 2.396 -0.405 Os
-5.350 4.811 -3.501 Os
-1.532 3.313 -3.145 Os
-2.769 0.897 -0.048 Os
0.000 0.000 0.000 Ti
-4.060 2.854 -1.775 Ti
```


A plane-wave DFT calculation with PBE was carried out for a geometry-optimized AlAs2Au structure.

ΔH_f (0 K) = -0.027 eV/atom

POSCAR file:
```
AlAs2Au
1.0
-0.305 -3.651 2.902
-0.753 -1.376 -4.402
3.215 -3.146 -1.278
As Au Al
2 1 1
Cartesian
0.000 0.000 0.000 As
1.455 -3.399 0.812 As
1.231 -2.261 -2.840 Au
-0.529 -2.513 -0.750 Al
```


A plane-wave DFT calculation with PBE was carried out for a geometry-optimized Tl2IrCl structure.

ΔE_f (raw) = 0.3981 eV/atom

POSCAR file:
```
Tl2IrCl
1.0
-2.929 -1.381 -0.862
2.895 -1.621 -0.470
-0.788 -4.070 9.191
Tl Ir Cl
2 1 1
Cartesian
-0.755 -3.898 8.803 Tl
-0.216 -2.527 1.651 Tl
-0.591 -4.467 6.032 Ir
-0.442 -2.284 5.159 Cl
```


A plane-wave DFT calculation with PBE was carried out for a geometry-optimized Na6TlBi structure.

ΔH_f (0 K) = -0.196 eV/atom

POSCAR file:
```
Na6TlBi
1.0
-4.517 -0.208 2.365
0.922 -4.836 1.336
3.917 2.883 7.734
Na Tl Bi
6 1 1
Cartesian
-0.534 -2.970 4.225 Na
3.114 0.913 6.027 Na
1.264 -0.448 2.375 Na
1.316 -1.609 7.877 Na
2.650 -2.185 4.869 Na
-2.028 -1.313 1.517 Na
0.692 -3.627 1.002 Tl
-0.070 0.128 5.384 Bi
```


A plane-wave DFT calculation with PBE was carried out for a geometry-optimized Pa2Pd7Pt structure.

ΔH_f (0 K) = -0.123 eV/atom

POSCAR file:
```
Pa2Pd7Pt
1.0
3.845 0.000 0.000
0.000 8.228 -0.816
0.000 -4.362 7.025
Pa Pd Pt
2 7 1
Cartesian
1.922 4.250 1.662 Pa
1.922 -0.383 4.547 Pa
0.000 5.850 0.666 Pd
0.000 -1.983 5.543 Pd
1.922 -0.512 1.986 Pd
1.922 4.379 4.223 Pd
1.922 2.008 0.416 Pd
1.922 1.859 5.793 Pd
1.922 1.933 3.105 Pd
0.000 0.000 0.000 Pt
```


A plane-wave DFT calculation with PBE was carried out for a geometry-optimized SrCaEu2 structure.

ΔH_f (0 K) = 0.046 eV/atom

POSCAR file:
```
SrCaEu2
1.0
-1.202 -3.348 4.688
3.017 -4.174 -2.208
4.581 1.953 2.569
Eu Sr Ca
2 1 1
Cartesian
2.291 0.976 1.285 Eu
1.509 -2.087 -1.104 Eu
-0.601 -1.674 2.344 Sr
3.198 -2.785 2.525 Ca
```


A plane-wave DFT calculation with PBE was carried out for a geometry-optimized KHgSe3 structure.

ΔE_f (raw) = -0.0052 eV/atom

POSCAR file:
```
KHgSe3
1.0
-1.584 2.178 -4.660
-4.542 -2.881 0.197
-2.415 3.991 2.686
K Hg Se
1 1 3
Cartesian
-4.270 1.644 -0.889 K
0.000 0.000 0.000 Hg
-2.271 -1.441 0.098 Se
-1.208 1.995 1.343 Se
-0.792 1.089 -2.330 Se
```


A plane-wave DFT calculation with PBE was carried out for a geometry-optimized NdErTm5Th2 structure.

ΔH_f (0 K) = 0.341 eV/atom

POSCAR file:
```
NdErTm5Th2
1.0
-4.872 7.148 -0.791
-5.209 -2.849 6.340
9.427 1.417 2.432
Nd Er Tm Th
2 2 10 4
Cartesian
-0.411 0.359 5.773 Nd
-0.242 5.357 2.208 Nd
2.193 1.783 2.603 Er
-2.847 3.933 5.378 Er
-4.140 5.825 2.680 Tm
2.827 5.242 2.192 Tm
3.486 -0.110 5.301 Tm
5.691 1.902 2.066 Tm
0.623 3.230 5.427 Tm
-6.344 3.814 5.915 Tm
-1.276 2.485 2.555 Tm
-3.481 0.474 5.790 Tm
-5.040 2.149 2.775 Tm
0.000 0.000 0.000 Tm
-2.564 -0.230 2.318 Th
-3.640 4.087 0.267 Th
-6.441 0.212 5.282 Th
-7.516 4.529 3.231 Th
```


A plane-wave DFT calculation with PBE was carried out for a geometry-optimized KCo2Te structure.

ΔE_f (raw) = 0.9299 eV/atom

POSCAR file:
```
KCo2Te
1.0
-3.425 -1.502 -4.502
1.216 -4.436 3.619
-2.603 -0.745 1.218
Co K Te
2 1 1
Cartesian
0.000 0.000 0.000 Co
-1.104 -2.969 -0.442 Co
-3.014 -1.123 -1.642 K
-0.693 -2.590 2.419 Te
```


A plane-wave DFT calculation with PBE was carried out for a geometry-optimized VGaHRu2 structure.

Energy = -6.95 eV/atom

POSCAR file:
```
VGaHRu2
1.0
-2.879 -1.724 2.212
2.317 0.324 3.268
-1.412 3.233 0.681
Ru H Ga V
2 1 1 1
Cartesian
1.159 0.162 1.634 Ru
-1.440 -0.862 1.106 Ru
0.000 0.000 0.000 H
-0.987 0.917 3.081 Ga
-0.706 1.617 0.341 V
```


A plane-wave DFT calculation with PBE was carried out for a geometry-optimized PuHgSO6 structure.

ΔE_f (raw) = -1.4779 eV/atom

POSCAR file:
```
PuHgSO6
1.0
6.174 -0.181 -0.360
2.943 5.061 -0.971
-0.243 -0.735 5.467
Pu Hg S O
1 1 1 6
Cartesian
6.014 2.927 1.855 Pu
5.621 -0.539 5.031 Hg
3.604 1.136 2.190 S
6.854 1.635 0.707 O
5.180 4.140 2.900 O
4.902 1.257 3.078 O
7.745 3.053 2.943 O
3.972 2.144 1.051 O
3.707 -0.268 1.532 O
```


A plane-wave DFT calculation with PBE was carried out for a geometry-optimized TbPr2Nd3Sm6 structure.

ΔH_f (0 K) = 0.013 eV/atom

POSCAR file:
```
TbPr2Nd3Sm6
1.0
6.325 0.000 0.003
-3.161 5.479 0.003
-1.063 -1.841 11.916
Tb Pr Nd Sm
1 2 3 6
Cartesian
0.000 0.000 0.000 Tb
0.000 3.653 0.003 Pr
3.164 1.826 0.003 Pr
-2.113 3.646 5.961 Nd
4.214 -0.008 5.961 Nd
1.050 1.819 5.961 Nd
3.154 1.821 8.946 Sm
2.110 3.653 2.980 Sm
-1.053 1.816 2.975 Sm
0.001 3.642 8.946 Sm
-0.009 -0.015 8.942 Sm
2.100 -0.005 2.975 Sm
```


A plane-wave DFT calculation with PBE was carried out for a geometry-optimized Pm2NdErP4 structure.

ΔH_f (0 K) = -1.558 eV/atom

POSCAR file:
```
Pm2NdErP4
1.0
-1.622 -3.460 -1.498
5.440 -3.705 2.669
-5.208 0.357 4.815
Pm Nd Er P
2 1 1 4
Cartesian
-3.415 -1.552 1.659 Pm
0.116 -1.674 3.742 Pm
0.000 0.000 0.000 Nd
1.909 -3.582 0.586 Er
-0.717 -2.585 1.125 P
-0.674 -4.222 4.861 P
-2.538 -0.683 4.326 P
2.769 -2.665 3.157 P
```


A plane-wave DFT calculation with PBE was carried out for a geometry-optimized Pm3AsC structure.

ΔH_f (0 K) = -0.580 eV/atom

POSCAR file:
```
Pm3AsC
1.0
6.820 0.278 0.248
1.101 8.898 0.491
1.101 1.498 8.785
Pm As C
12 4 4
Cartesian
3.934 1.811 0.441 Pm
0.524 0.505 1.625 Pm
8.498 10.169 7.899 Pm
5.088 8.863 9.083 Pm
7.096 3.730 4.538 Pm
3.686 4.793 3.068 Pm
5.336 5.881 6.457 Pm
1.926 6.943 4.986 Pm
7.454 6.330 1.875 Pm
4.044 2.442 5.952 Pm
4.978 8.231 3.572 Pm
1.568 4.344 7.649 Pm
5.953 3.697 1.645 As
2.543 1.915 3.363 As
6.480 8.759 6.161 As
3.070 6.976 7.879 As
2.806 7.103 2.643 C
2.806 2.207 8.129 C
6.216 3.571 6.881 C
6.216 8.466 1.395 C
```


A plane-wave DFT calculation with PBE was carried out for a geometry-optimized AsPbWSe2 structure.

ΔE_f (raw) = 0.2301 eV/atom

POSCAR file:
```
AsPbWSe2
1.0
-2.477 4.109 1.473
1.206 -0.983 4.771
4.123 2.663 -0.494
Pb As Se W
1 1 2 1
Cartesian
1.426 2.894 2.875 Pb
2.062 1.331 -0.247 As
0.603 -0.492 2.386 Se
-1.239 2.054 0.736 Se
0.000 0.000 0.000 W
```


A plane-wave DFT calculation with PBE was carried out for a geometry-optimized CsYb3 structure.

ΔH_f (0 K) = 0.219 eV/atom

POSCAR file:
```
CsYb3
1.0
-1.433 2.604 -6.175
5.486 -1.414 -3.856
-3.752 -4.215 3.889
Cs Yb
1 3
Cartesian
0.000 0.000 0.000 Cs
-1.579 -0.508 -3.651 Yb
1.881 -2.517 -2.491 Yb
2.027 0.595 -5.016 Yb
```